Here is a geometry-optimized Ti3Nb2V3O16 structure from Alexandria. Energies are from GGA+U.

Computed properties:
Final energy, eV per atom: -8.54
Magnetic moment, μB/atom: 0.21

a = 5.9926 Å, b = 6.0182 Å, c = 9.4135 Å
α = 90.35°, β = 90.13°, γ = 119.45°
Space group P1 (No. 1)
Inequivalent atoms, fractional coordinates:
Ti  0.0000  0.0000  0.0000 (multiplicity 1)
Ti  0.0422  0.5093  0.9939 (multiplicity 1)
Ti  0.1895  0.7805  0.4917 (multiplicity 1)
Nb  0.1801  0.2867  0.7159 (multiplicity 1)
Nb  0.5226  0.0059  0.2180 (multiplicity 1)
V  0.5102  0.4830  0.0034 (multiplicity 1)
V  0.6754  0.2884  0.5122 (multiplicity 1)
V  0.6756  0.7964  0.4939 (multiplicity 1)
O  0.0109  0.9750  0.6133 (multiplicity 1)
O  0.0150  0.4609  0.6141 (multiplicity 1)
O  0.1686  0.3142  0.1077 (multiplicity 1)
O  0.1942  0.8228  0.1144 (multiplicity 1)
O  0.3100  0.1615  0.8774 (multiplicity 1)
O  0.3164  0.6015  0.8755 (multiplicity 1)
O  0.3581  0.0974  0.3816 (multiplicity 1)
O  0.3618  0.6679  0.3753 (multiplicity 1)
O  0.4985  0.9283  0.6072 (multiplicity 1)
O  0.5008  0.4569  0.6153 (multiplicity 1)
O  0.6782  0.8292  0.1140 (multiplicity 1)
O  0.6805  0.3145  0.1174 (multiplicity 1)
O  0.7908  0.0986  0.3792 (multiplicity 1)
O  0.8400  0.6377  0.4107 (multiplicity 1)
O  0.8527  0.6553  0.9116 (multiplicity 1)
O  0.8874  0.1732  0.8791 (multiplicity 1)